Cs2CeUSe6 | Alexandria | PBE-GGA | optimized geometry; magnetization = 0.073 μB per formula unit; Fermi-level density of states = 3.5 states/eV/f.u.; formation energy (no corrections) = -1.31 eV/atom; energy = -5.29 eV/atom
1.0
7.845 0.000 0.000
0.000 11.094 0.000
0.000 0.000 7.846
Cs Ce U Se
4 2 2 12
Direct
0.250 0.000 0.250
0.250 0.500 0.250
0.750 0.000 0.750
0.750 0.500 0.750
0.250 0.250 0.750
0.750 0.750 0.250
0.250 0.750 0.750
0.750 0.250 0.250
0.007 0.750 0.506
0.007 0.750 0.993
0.250 0.507 0.750
0.250 0.993 0.750
0.493 0.750 0.506
0.493 0.750 0.993
0.507 0.250 0.007
0.507 0.250 0.494
0.750 0.007 0.250
0.750 0.493 0.250
0.993 0.250 0.007
0.993 0.250 0.494